VASP calculation (PBE with a Hubbard U) on PuNiPd2O8 after structural relaxation.

The space group is I-4m2 (No. 119) and the conventional cell measures 6.543, 6.543 and 7.134 Å, with angles of 90.00, 90.00 and 90.00 degrees. The inequivalent atoms are Pu at (0.000, 0.000, 0.000), Ni at (0.000, 0.500, 0.750), Pd at (0.000, 0.000, 0.500), Pd at (0.000, 0.500, 0.250), O at (0.000, 0.184, 0.714) and O at (0.000, 0.305, 0.033).


VASP calculation (PBE with a Hubbard U) on CoGe2CF after structural relaxation.

The space group is P4/mmm (No. 123) and the conventional cell measures 4.377, 4.377 and 3.717 Å, with angles of 90.00, 90.00 and 90.00 degrees. The inequivalent atoms are Co at (0.000, 0.000, 0.000), Ge at (0.000, 0.500, 0.500), C at (0.500, 0.500, 0.500) and F at (0.500, 0.500, 0.000).


Number 1: uncorrected energy -151.8 eV for the cell shown. Number 2: uncorrected energy -21.6 eV for the cell shown.